#1
The following is a GGA-PBE calculation of a relaxed TaSb2H crystal, from the Alexandria database.

Cell lengths 5.700, 5.700, 5.700 Å; angles 109.96, 109.96, 108.50 degrees
Positions (direct):
1 Ta 0.000 0.000 0.000
2 Ta 0.750 0.250 0.500
3 Sb 0.209 0.625 0.084
4 Sb 0.375 0.459 0.584
5 Sb 0.541 0.125 0.916
6 Sb 0.875 0.791 0.416
7 H 0.250 0.750 0.500
8 H 0.500 0.500 0.000

Summary:
- M_tot: 0.000 Bohr magnetons per cell



#2
The following is a GGA-PBE calculation of a relaxed TaSb2H crystal, from the Alexandria database.

Cell lengths 4.784, 4.784, 4.784 Å; angles 60.00, 60.00, 60.00 degrees
Positions (direct):
1 Ta 0.000 0.000 0.000
2 Sb 0.250 0.250 0.250
3 Sb 0.750 0.750 0.750
4 H 0.500 0.500 0.500

Summary:
- M_tot: 0.000 Bohr magnetons per cell



Least stable: #2



#1
The following is a GGA-PBE calculation of a relaxed TaSbH3 crystal, from the Alexandria database.

Cell lengths 3.760, 3.760, 3.760 Å; angles 90.00, 90.00, 90.00 degrees
Positions (direct):
1 Ta 0.000 0.000 0.000
2 Sb 0.500 0.500 0.500
3 H 0.000 0.000 0.500
4 H 0.000 0.500 0.000
5 H 0.500 0.000 0.000

Summary:
- M_tot: 0.000 Bohr magnetons per cell



#2
The following is a GGA-PBE calculation of a relaxed TaSbH3 crystal, from the Alexandria database.

Cell lengths 3.824, 3.824, 3.824 Å; angles 90.00, 90.00, 90.00 degrees
Positions (direct):
1 Ta 0.000 0.000 0.000
2 Sb 0.500 0.500 0.500
3 H 0.000 0.500 0.500
4 H 0.500 0.000 0.500
5 H 0.500 0.500 0.000

Summary:
- M_tot: 0.000 Bohr magnetons per cell



Least stable: #2



#1
The following is a GGA-PBE calculation of a relaxed TbSbH crystal, from the Alexandria database.

Cell lengths 7.636, 7.636, 7.636 Å; angles 147.62, 147.62, 46.45 degrees
Positions (direct):
1 Tb 0.168 0.168 0.000
2 Tb 0.832 0.832 0.000
3 Sb 0.000 0.500 0.500
4 Sb 0.500 0.000 0.500
5 H 0.250 0.750 0.500
6 H 0.750 0.250 0.500

Summary:
- M_tot: 0.000 Bohr magnetons per cell



#2
The following is a GGA-PBE calculation of a relaxed TbSbH crystal, from the Alexandria database.

Cell lengths 5.844, 5.844, 5.844 Å; angles 137.19, 94.23, 101.10 degrees
Positions (direct):
1 Tb 0.000 0.000 0.000
2 Tb 0.515 0.015 0.500
3 Sb 0.095 0.339 0.756
4 Sb 0.583 0.339 0.244
5 H 0.624 0.676 0.948
6 H 0.729 0.676 0.052

Summary:
- M_tot: 0.000 Bohr magnetons per cell



#3
The following is a GGA-PBE calculation of a relaxed TbSbH crystal, from the Alexandria database.

Cell lengths 6.053, 6.053, 6.053 Å; angles 148.67, 148.67, 44.90 degrees
Positions (direct):
1 Tb 0.000 0.000 0.000
2 Sb 0.285 0.285 0.000
3 H 0.553 0.553 0.000

Summary:
- M_tot: 0.000 Bohr magnetons per cell



#4
The following is a GGA-PBE calculation of a relaxed TbSbH crystal, from the Alexandria database.

Cell lengths 3.778, 3.778, 4.703 Å; angles 90.00, 90.00, 120.00 degrees
Positions (direct):
1 Tb 0.000 0.000 0.000
2 Sb 0.667 0.333 0.500
3 H 0.333 0.667 0.000

Summary:
- M_tot: 0.000 Bohr magnetons per cell



Least stable: #3



#1
The following is a GGA-PBE calculation of a relaxed Tb4Sb2H crystal, from the Alexandria database.

Cell lengths 9.068, 9.068, 9.068 Å; angles 151.39, 151.39, 40.91 degrees
Positions (direct):
1 Tb 0.000 0.500 0.500
2 Tb 0.178 0.178 0.000
3 Tb 0.500 0.000 0.500
4 Tb 0.822 0.822 0.000
5 Sb 0.362 0.362 0.000
6 Sb 0.638 0.638 0.000
7 H 0.000 0.000 0.000

Summary:
- M_tot: 0.000 Bohr magnetons per cell



#2
The following is a GGA-PBE calculation of a relaxed Tb4Sb2H crystal, from the Alexandria database.

Cell lengths 6.401, 6.398, 8.948 Å; angles 90.00, 108.01, 90.00 degrees
Positions (direct):
1 Tb 0.030 0.003 0.298
2 Tb 0.030 0.497 0.298
3 Tb 0.356 0.750 0.060
4 Tb 0.433 0.750 0.651
5 Tb 0.567 0.250 0.349
6 Tb 0.644 0.250 0.940
7 Tb 0.970 0.503 0.702
8 Tb 0.970 0.997 0.702
9 Sb 0.198 0.250 0.030
10 Sb 0.334 0.250 0.600
11 Sb 0.666 0.750 0.400
12 Sb 0.802 0.750 0.970
13 H 0.215 0.750 0.800
14 H 0.785 0.250 0.200

Summary:
- M_tot: 0.000 Bohr magnetons per cell



Least stable: #2



#1
The following is a GGA-PBE calculation of a relaxed Tc2SbH crystal, from the Alexandria database.

Cell lengths 6.155, 6.155, 6.155 Å; angles 133.38, 133.38, 68.06 degrees
Positions (direct):
1 Tc 0.375 0.200 0.325
2 Tc 0.800 0.125 0.175
3 Tc 0.875 0.050 0.675
4 Tc 0.950 0.625 0.825
5 Sb 0.250 0.750 0.500
6 Sb 0.500 0.500 0.000
7 H 0.000 0.000 0.000
8 H 0.750 0.250 0.500

Summary:
- M_tot: 0.000 Bohr magnetons per cell



#2
The following is a GGA-PBE calculation of a relaxed Tc2SbH crystal, from the Alexandria database.

Cell lengths 4.351, 4.351, 4.351 Å; angles 60.00, 60.00, 60.00 degrees
Positions (direct):
1 Tc 0.250 0.250 0.250
2 Tc 0.750 0.750 0.750
3 Sb 0.000 0.000 0.000
4 H 0.500 0.500 0.500

Summary:
- M_tot: 2.212 Bohr magnetons per cell



Least stable: #2



#1
The following is a GGA-PBE calculation of a relaxed TcSb3H crystal, from the Alexandria database.

Cell lengths 5.136, 5.136, 5.136 Å; angles 90.00, 90.00, 90.00 degrees
Positions (direct):
1 Tc 0.000 0.000 0.000
2 Sb 0.000 0.000 0.500
3 Sb 0.000 0.500 0.000
4 Sb 0.500 0.000 0.000
5 H 0.500 0.500 0.500

Summary:
- M_tot: 0.000 Bohr magnetons per cell



#2
The following is a GGA-PBE calculation of a relaxed TcSb3H crystal, from the Alexandria database.

Cell lengths 4.567, 4.567, 4.567 Å; angles 90.00, 90.00, 90.00 degrees
Positions (direct):
1 Tc 0.000 0.000 0.000
2 Sb 0.000 0.500 0.500
3 Sb 0.500 0.000 0.500
4 Sb 0.500 0.500 0.000
5 H 0.500 0.500 0.500

Summary:
- M_tot: 1.231 Bohr magnetons per cell



Least stable: #1